No. 1
CeSc2 | PBE | optimized geometry

Properties
formation enthalpy at 0 K = 7 kJ/mol of formula units
excess energy over the best structure of this formula in the dataset = 0.0 meV/atom

extended XYZ file:
```
3
Lattice="-1.378 1.009 2.856 -0.639 -2.207 2.411 7.248 -0.570 3.698" Properties=species:S:1:pos:R:3 pbc="T T T"
Sc 5.353 -1.164 4.956
Sc -0.218 -0.590 4.002
Ce 2.887 0.227 3.273
```

***

No. 2
Ce4Sc | PBE | optimized geometry

Properties
formation enthalpy at 0 K = 356 kJ/mol of formula units
excess energy over the best structure of this formula in the dataset = 686.5 meV/atom

extended XYZ file:
```
5
Lattice="-0.907 1.183 5.278 3.048 -4.310 1.490 4.469 3.179 0.055" Properties=species:S:1:pos:R:3 pbc="T T T"
Ce 3.758 -0.565 0.772
Ce 1.781 2.181 2.666
Ce 1.070 -1.563 3.384
Ce 0.000 0.000 0.000
Sc 3.305 0.026 3.411
```

***

The calculation returns the following total magnetization values, one per record and in order: 0.04, 4.12 μB per cell.
The calculation returns the following DFT total energy values, one per record and in order: -6.175, -5.276 eV per atom.